DFT (PBE+U) results for a geometry-optimized VTc2F11 structure.

The calculation puts the total DFT energy (no corrections) at -314.57 eV/cell.

The structure belongs to space group Ibam (No. 72); the cell edges are 8.637, 8.700 and 9.942 Å and the angles 90.00°, 90.00° and 90.00°. The asymmetric unit holds V at (0.000, 0.000, 0.250), Tc at (0.170, 0.332, 0.000), F at (0.000, 0.500, 0.000), F at (0.062, 0.208, 0.139), F at (0.180, 0.317, 0.500) and F at (0.202, 0.058, 0.363).